# 1
## NaS (GGA-PBE)

Data for crystalline NaS at its relaxed geometry.

Values from the calculation:
SG = P6_3/mmc, No. 194
Total magnetic moment = 0.0 μB per formula unit
Distance to the lowest polymorph of the same formula = 0.0 meV per atom
Formation energy without anion corrections = -0.830 eV/atom

Lattice parameters (Å, degrees): 4.510 4.510 10.280 90.00 90.00 120.00
Sites, in units of the cell vectors:
Na (0.000, 0.000, 0.000)
Na (0.000, 0.000, 0.500)
Na (0.333, 0.667, 0.250)
Na (0.667, 0.333, 0.750)
S (0.333, 0.667, 0.644)
S (0.333, 0.667, 0.856)
S (0.667, 0.333, 0.144)
S (0.667, 0.333, 0.356)

=====

# 2
## YHf2Os (GGA-PBE)

Data for crystalline YHf2Os at its relaxed geometry.

Values from the calculation:
SG = P4/mmm, No. 123
Calculated formation energy = -0.67 eV/f.u.
Total magnetic moment = 0.0 μB per formula unit
Distance to the lowest polymorph of the same formula = 0.0 meV per atom
N(E_F) = 6.8 states/eV per cell

Lattice parameters (Å, degrees): 3.273 3.273 8.215 90.00 90.00 90.00
Sites, in units of the cell vectors:
Y (0.000, 0.000, 0.000)
Hf (0.500, 0.500, 0.308)
Hf (0.500, 0.500, 0.692)
Os (0.000, 0.000, 0.500)

=====

# 3
## KTc3I (GGA-PBE)

Data for crystalline KTc3I at its relaxed geometry.

Values from the calculation:
SG = Pm-3m, No. 221
Total magnetic moment = 10.8 μB per formula unit
Distance to the lowest polymorph of the same formula = 1214.4 meV per atom
Formation energy without anion corrections = 3.140 eV/atom
N(E_F) = 8.0 states/eV per cell

Lattice parameters (Å, degrees): 5.211 5.211 5.211 90.00 90.00 90.00
Sites, in units of the cell vectors:
K (0.000, 0.000, 0.000)
Tc (0.000, 0.000, 0.500)
Tc (0.000, 0.500, 0.000)
Tc (0.500, 0.000, 0.000)
I (0.500, 0.500, 0.500)

=====

# 4
## Cs4Pu3BiO12 (GGA-PBE)

Data for crystalline Cs4Pu3BiO12 at its relaxed geometry.

Values from the calculation:
SG = Im-3m, No. 229
Total magnetic moment = 7.0 μB per formula unit
Formation energy without anion corrections = -2.193 eV/atom
N(E_F) = 8.1 states/eV per cell

Lattice parameters (Å, degrees): 7.655 7.655 7.655 109.47 109.47 109.47
Sites, in units of the cell vectors:
Cs (0.000, 0.000, 0.500)
Cs (0.000, 0.500, 0.000)
Cs (0.500, 0.000, 0.000)
Cs (0.500, 0.500, 0.500)
Pu (0.000, 0.500, 0.500)
Pu (0.500, 0.000, 0.500)
Pu (0.500, 0.500, 0.000)
Bi (0.000, 0.000, 0.000)
O (0.000, 0.273, 0.273)
O (0.000, 0.727, 0.727)
O (0.250, 0.500, 0.750)
O (0.250, 0.750, 0.500)
O (0.273, 0.000, 0.273)
O (0.273, 0.273, 0.000)
O (0.500, 0.250, 0.750)
O (0.500, 0.750, 0.250)
O (0.727, 0.000, 0.727)
O (0.727, 0.727, 0.000)
O (0.750, 0.250, 0.500)
O (0.750, 0.500, 0.250)

=====

# 5
## Ho3Si2Pd2 (GGA-PBE)

Data for crystalline Ho3Si2Pd2 at its relaxed geometry.

Values from the calculation:
SG = Pbcm, No. 57
Total magnetic moment = 0.0 μB per formula unit
Formation energy without anion corrections = -0.898 eV/atom
N(E_F) = 19.7 states/eV per cell

Lattice parameters (Å, degrees): 5.673 7.783 12.925 90.00 90.00 90.00
Sites, in units of the cell vectors:
Ho (0.126, 0.096, 0.106)
Ho (0.126, 0.096, 0.394)
Ho (0.126, 0.404, 0.606)
Ho (0.126, 0.404, 0.894)
Ho (0.363, 0.734, 0.250)
Ho (0.363, 0.766, 0.750)
Ho (0.637, 0.234, 0.250)
Ho (0.637, 0.266, 0.750)
Ho (0.874, 0.596, 0.106)
Ho (0.874, 0.596, 0.394)
Ho (0.874, 0.904, 0.606)
Ho (0.874, 0.904, 0.894)
Si (0.146, 0.118, 0.750)
Si (0.146, 0.382, 0.250)
Si (0.312, 0.750, 0.000)
Si (0.312, 0.750, 0.500)
Si (0.688, 0.250, 0.000)
Si (0.688, 0.250, 0.500)
Si (0.854, 0.618, 0.750)
Si (0.854, 0.882, 0.250)
Pd (0.383, 0.052, 0.591)
Pd (0.383, 0.052, 0.909)
Pd (0.383, 0.448, 0.091)
Pd (0.383, 0.448, 0.409)
Pd (0.617, 0.552, 0.591)
Pd (0.617, 0.552, 0.909)
Pd (0.617, 0.948, 0.091)
Pd (0.617, 0.948, 0.409)

=====

# 6
## In2HRh (GGA-PBE)

Data for crystalline In2HRh at its relaxed geometry.

Values from the calculation:
SG = I-42d, No. 122
Total magnetic moment = 0.0 μB per formula unit
Distance to the lowest polymorph of the same formula = 317.6 meV per atom
N(E_F) = 1.7 states/eV per cell

Lattice parameters (Å, degrees): 5.530 5.530 5.530 109.63 109.63 109.14
Sites, in units of the cell vectors:
In (0.058, 0.625, 0.933)
In (0.375, 0.308, 0.433)
In (0.692, 0.125, 0.067)
In (0.875, 0.942, 0.567)
H (0.000, 0.000, 0.000)
H (0.750, 0.250, 0.500)
Rh (0.250, 0.750, 0.500)
Rh (0.500, 0.500, 0.000)

=====

> Among the records above, which one has the highest total magnetic moment?

KTc3I

=====

> Which of these has the highest total magnetic moment?

KTc3I

=====

> Which formula does entry 3 have?

KTc3I